First-principles (GGA-PBE) data for an optimized crystal structure of Ca2ScCr, as listed in the Alexandria database.

## Properties
Calculated volume (Å³ per cell): 116.33
SG: No. 123
ΔE_f (kcal/mol of atoms): 11.6
D(E_F) (states/eV/atom): 1.11

a b c (Å): 3.9013 3.9013 7.6431
angles (deg): 90.00 90.00 90.00
Closest atoms and distances in Å follow each position.
Positions (direct):
Ca: 0.0000 0.0000 0.2337  4 Cr 3.29, 4 Sc 3.43, 1 Ca 3.57
Ca: 0.0000 0.0000 0.7663  4 Cr 3.29, 4 Sc 3.43, 1 Ca 3.57
Sc: 0.5000 0.5000 0.5000  8 Ca 3.43, 2 Cr 3.82
Cr: 0.5000 0.5000 0.0000  8 Ca 3.29

First-principles (GGA-PBE) data for an optimized crystal structure of BaAcAg, as listed in the Alexandria database.

## Properties
Calculated volume (Å³ per cell): 121.02
SG: No. 107
ΔE_f (kcal/mol of atoms): -2.7
D(E_F) (states/eV/atom): 1.28

a b c (Å): 7.8357 7.8357 7.8357
angles (deg): 149.85 149.85 43.15
Closest atoms and distances in Å follow each position.
Positions (direct):
Ba: 0.0000 0.0000 0.0000  4 Ag 3.63, 1 Ac 3.89
Ac: 0.2668 0.2668 0.0000  4 Ag 3.34
Ag: 0.6510 0.6510 0.0000  4 Ac 3.34, 4 Ba 3.63

First-principles (GGA-PBE) data for an optimized crystal structure of BaDy6, as listed in the Alexandria database.

## Properties
Calculated volume (Å³ per cell): 299.61
SG: No. 229
ΔE_f (kcal/mol of atoms): 28.7
D(E_F) (states/eV/atom): 2.01

a b c (Å): 7.3012 7.3012 7.3012
angles (deg): 109.47 109.47 109.47
Closest atoms and distances in Å follow each position.
Positions (direct):
Ba: 0.0000 0.0000 0.0000  24 Dy 4.71
Dy: 0.2500 0.5000 0.7500  4 Dy 2.98
Dy: 0.2500 0.7500 0.5000  4 Dy 2.98
Dy: 0.5000 0.2500 0.7500  4 Dy 2.98
Dy: 0.5000 0.7500 0.2500  4 Dy 2.98
Dy: 0.7500 0.2500 0.5000  4 Dy 2.98
Dy: 0.7500 0.5000 0.2500  4 Dy 2.98

First-principles (GGA-PBE) data for an optimized crystal structure of VCoH, as listed in the Alexandria database.

## Properties
Calculated volume (Å³ per cell): 27.86
SG: No. 107
D(E_F) (states/eV/atom): 0.82
Total DFT energy (no corrections) (eV per atom): -6.401

a b c (Å): 4.3039 4.3039 4.3039
angles (deg): 143.64 143.64 52.37
Closest atoms and distances in Å follow each position.
Positions (direct):
V: 0.0000 0.0000 0.0000  4 H 1.90
Co: 0.7191 0.7191 0.0000  1 H 1.78
H: 0.4890 0.4890 0.0000  1 Co 1.78, 4 V 1.90

First-principles (GGA-PBE) data for an optimized crystal structure of Re2BBrO, as listed in the Alexandria database.

## Properties
Calculated volume (Å³ per cell): 63.66
SG: No. 123
Uncorrected formation energy (eV/atom): 1.496
D(E_F) (states/eV/atom): 1.06

a b c (Å): 4.5566 4.5566 3.0659
angles (deg): 90.00 90.00 90.00
Closest atoms and distances in Å follow each position.
Positions (direct):
Re: 0.0000 0.5000 0.0000  2 O 2.28
Re: 0.5000 0.0000 0.0000  2 O 2.28
B: 0.0000 0.0000 0.5000  2 O 1.53
Br: 0.5000 0.5000 0.5000  8 Re 2.75, 2 Br 3.07
O: 0.0000 0.0000 0.0000  2 B 1.53

First-principles (GGA-PBE) data for an optimized crystal structure of TaCuBr2, as listed in the Alexandria database.

## Properties
Calculated volume (Å³ per cell): 76.10
SG: No. 10
Uncorrected formation energy (eV/atom): 0.529
D(E_F) (states/eV/atom): 0.57

a b c (Å): 4.9765 3.1710 5.2097
angles (deg): 90.00 112.24 90.00
Closest atoms and distances in Å follow each position.
Positions (direct):
Ta: 0.0000 0.0000 0.0000  2 Br 2.60
Cu: 0.5000 0.5000 0.5000  2 Br 2.60
Br: 0.0000 0.0000 0.5000  2 Ta 2.60
Br: 0.5000 0.5000 0.0000  2 Cu 2.60

First-principles (GGA-PBE) data for an optimized crystal structure of Sm3Tm2, as listed in the Alexandria database.

## Properties
Calculated volume (Å³ per cell): 325.84
SG: No. 72
ΔE_f (kcal/mol of atoms): 3.5
D(E_F) (states/eV/atom): 1.54

a b c (Å): 9.2274 9.2274 9.2274
angles (deg): 138.53 58.38 140.80
Closest atoms and distances in Å follow each position.
Positions (direct):
Sm: 0.0970 0.6083 0.7054  5 Sm 3.37-3.43, 2 Tm 3.39-3.45
Sm: 0.2500 0.2500 0.0000  6 Sm 3.10-3.37
Sm: 0.4030 0.1083 0.5113  5 Sm 3.37-3.43, 2 Tm 3.39-3.45
Sm: 0.5970 0.8917 0.4887  5 Sm 3.37-3.43, 2 Tm 3.39-3.45
Sm: 0.7500 0.7500 0.0000  6 Sm 3.10-3.37
Sm: 0.9030 0.3917 0.2946  5 Sm 3.37-3.43, 2 Tm 3.39-3.45
Tm: 0.1930 0.1370 0.3300  5 Sm 3.39-3.78, 4 Tm 3.58-3.75
Tm: 0.3070 0.6370 0.9439  5 Sm 3.39-3.78, 4 Tm 3.58-3.75
Tm: 0.6930 0.3630 0.0561  5 Sm 3.39-3.78, 4 Tm 3.58-3.75
Tm: 0.8070 0.8630 0.6700  5 Sm 3.39-3.78, 4 Tm 3.58-3.75

First-principles (GGA-PBE) data for an optimized crystal structure of Li3RhPb2, as listed in the Alexandria database.

## Properties
Calculated volume (Å³ per cell): 236.75
SG: No. 72
ΔE_f (kcal/mol of atoms): -4.8
D(E_F) (states/eV/atom): 0.53

a b c (Å): 7.9204 7.9204 7.9204
angles (deg): 136.26 64.02 135.69
Closest atoms and distances in Å follow each position.
Positions (direct):
Li: 0.1426 0.2476 0.3902  2 Li 2.83, 5 Pb 2.84-3.06, 2 Rh 2.85
Li: 0.2500 0.2500 0.0000  6 Li 2.83-2.99, 4 Pb 2.90, 2 Rh 2.95
Li: 0.3574 0.7476 0.1050  2 Li 2.83, 5 Pb 2.84-3.06, 2 Rh 2.85
Li: 0.6426 0.2524 0.8950  2 Li 2.83, 5 Pb 2.84-3.06, 2 Rh 2.85
Li: 0.7500 0.7500 0.0000  6 Li 2.83-2.99, 4 Pb 2.90, 2 Rh 2.95
Li: 0.8574 0.7524 0.6098  2 Li 2.83, 5 Pb 2.84-3.06, 2 Rh 2.85
Rh: 0.2500 0.7500 0.5000  4 Pb 2.77, 6 Li 2.85-2.95, 2 Rh 2.99
Rh: 0.7500 0.2500 0.5000  4 Pb 2.77, 6 Li 2.85-2.95, 2 Rh 2.99
Pb: 0.1415 0.7294 0.8709  2 Rh 2.77, 7 Li 2.84-3.06
Pb: 0.3585 0.2294 0.5879  2 Rh 2.77, 7 Li 2.84-3.06
Pb: 0.6415 0.7706 0.4121  2 Rh 2.77, 7 Li 2.84-3.06
Pb: 0.8585 0.2706 0.1291  2 Rh 2.77, 7 Li 2.84-3.06

First-principles (GGA-PBE) data for an optimized crystal structure of Pr2YHoSe6, as listed in the Alexandria database.

## Properties
Calculated volume (Å³ per cell): 307.46
SG: No. 146
Uncorrected formation energy (eV/atom): -1.846
D(E_F) (states/eV/atom): 0.00

a b c (Å): 7.7865 7.7865 7.7865
angles (deg): 56.58 56.58 56.58
Closest atoms and distances in Å follow each position.
Positions (direct):
Pr: 0.0000 0.0000 0.0000  6 Se 2.96-3.05
Pr: 0.5000 0.5000 0.5000  6 Se 2.96-3.05
Y: 0.2019 0.2019 0.2019  6 Se 2.85-2.90
Ho: 0.7018 0.7018 0.7018  6 Se 2.83-2.89
Se: 0.0825 0.8179 0.4193  1 Ho 2.83, 1 Y 2.90, 2 Pr 2.96-3.05
Se: 0.3194 0.5839 0.9178  1 Y 2.85, 1 Ho 2.89, 2 Pr 2.96-3.05
Se: 0.4193 0.0825 0.8179  1 Ho 2.83, 1 Y 2.90, 2 Pr 2.96-3.05
Se: 0.5839 0.9178 0.3194  1 Y 2.85, 1 Ho 2.89, 2 Pr 2.96-3.05
Se: 0.8179 0.4193 0.0825  1 Ho 2.83, 1 Y 2.90, 2 Pr 2.96-3.05
Se: 0.9178 0.3194 0.5839  1 Y 2.85, 1 Ho 2.89, 2 Pr 2.96-3.05

First-principles (GGA-PBE) data for an optimized crystal structure of UNi4Ge4, as listed in the Alexandria database.

## Properties
Calculated volume (Å³ per cell): 274.93
SG: No. 137
ΔE_f (kcal/mol of atoms): -5.2
D(E_F) (states/eV/atom): 1.00

a b c (Å): 5.8953 5.8953 7.9106
angles (deg): 90.00 90.00 90.00
Closest atoms and distances in Å follow each position.
Positions (direct):
U: 0.2500 0.7500 0.2500  4 Ni 3.09, 12 Ge 3.36-3.39
U: 0.7500 0.2500 0.7500  4 Ni 3.09, 12 Ge 3.36-3.39
Ni: 0.0406 0.2500 0.0752  5 Ge 2.37-2.41, 1 Ni 2.47
Ni: 0.2500 0.0406 0.5752  5 Ge 2.37-2.41, 1 Ni 2.47
Ni: 0.2500 0.4594 0.5752  5 Ge 2.37-2.41, 1 Ni 2.47
Ni: 0.4594 0.2500 0.0752  5 Ge 2.37-2.41, 1 Ni 2.47
Ni: 0.5406 0.7500 0.9248  5 Ge 2.37-2.41, 1 Ni 2.47
Ni: 0.7500 0.5406 0.4248  5 Ge 2.37-2.41, 1 Ni 2.47
Ni: 0.7500 0.9594 0.4248  5 Ge 2.37-2.41, 1 Ni 2.47
Ni: 0.9594 0.7500 0.9248  5 Ge 2.37-2.41, 1 Ni 2.47
Ge: 0.0205 0.2500 0.3762  5 Ni 2.37-2.41
Ge: 0.2500 0.0205 0.8762  5 Ni 2.37-2.41
Ge: 0.2500 0.4795 0.8762  5 Ni 2.37-2.41
Ge: 0.4795 0.2500 0.3762  5 Ni 2.37-2.41
Ge: 0.5205 0.7500 0.6238  5 Ni 2.37-2.41
Ge: 0.7500 0.5205 0.1238  5 Ni 2.37-2.41
Ge: 0.7500 0.9795 0.1238  5 Ni 2.37-2.41
Ge: 0.9795 0.7500 0.6238  5 Ni 2.37-2.41

First-principles (GGA-PBE) data for an optimized crystal structure of K2TlHg3Au4, as listed in the Alexandria database.

## Properties
Calculated volume (Å³ per cell): 281.79
SG: No. 115
ΔE_f (kcal/mol of atoms): -4.0
D(E_F) (states/eV/atom): 0.41

a b c (Å): 4.9422 4.9422 11.5365
angles (deg): 90.00 90.00 90.00
Closest atoms and distances in Å follow each position.
Positions (direct):
K: 0.0000 0.5000 0.2319  8 Au 3.64-3.82, 6 Hg 3.70-3.96, 2 Tl 3.96
K: 0.5000 0.0000 0.7681  8 Au 3.64-3.82, 6 Hg 3.70-3.96, 2 Tl 3.96
Tl: 0.0000 0.0000 0.5000  4 Au 2.92
Hg: 0.0000 0.5000 0.8742  5 Au 2.77-2.87
Hg: 0.5000 0.0000 0.1258  5 Au 2.77-2.87
Hg: 0.5000 0.5000 0.5000  4 Au 2.92
Au: 0.0000 0.0000 0.0000  4 Hg 2.87
Au: 0.0000 0.5000 0.6342  3 Hg 2.77-2.92, 2 Tl 2.92
Au: 0.5000 0.0000 0.3658  3 Hg 2.77-2.92, 2 Tl 2.92
Au: 0.5000 0.5000 0.0000  4 Hg 2.87

First-principles (GGA-PBE) data for an optimized crystal structure of HfMg2ClF, as listed in the Alexandria database.

## Properties
Calculated volume (Å³ per cell): 107.62
SG: No. 123
Uncorrected formation energy (eV/atom): -0.408
D(E_F) (states/eV/atom): 0.58

a b c (Å): 4.0065 4.0065 6.7043
angles (deg): 90.00 90.00 90.00
Closest atoms and distances in Å follow each position.
Positions (direct):
Hf: 0.0000 0.0000 0.0000  4 Cl 2.83
Mg: 0.0000 0.5000 0.5000  2 F 2.00
Mg: 0.5000 0.0000 0.5000  2 F 2.00
Cl: 0.5000 0.5000 0.0000  4 Hf 2.83
F: 0.0000 0.0000 0.5000  4 Mg 2.00